A plane-wave DFT calculation with PBE-GGA was carried out for In2Hg2Pb after structural relaxation. Values from VASP.

Results
- Calculated formation energy: 2 kJ per mole of atoms
- Space-group type: P-1, No. 2
- E above lowest polymorph: 0 meV/atom

```
&SYSTEM
  ibrav = 0, nat = 10, ntyp = 3
/
ATOMIC_SPECIES
Hg 200.59 Hg.upf
In 114.82 In.upf
Pb 207.20 Pb.upf
CELL_PARAMETERS angstrom
11.478 1.169 3.398
4.706 6.817 6.187
3.613 6.365 9.418
ATOMIC_POSITIONS crystal
Hg 0.055 0.928 0.670
In 0.430 0.606 0.824
In 0.649 0.300 0.489
In 0.570 0.394 0.176
Hg 0.143 0.886 0.927
Pb 0.266 0.820 0.182
Hg 0.857 0.114 0.073
Pb 0.734 0.180 0.818
Hg 0.945 0.072 0.330
In 0.351 0.700 0.511
```


A plane-wave DFT calculation with PBE-GGA was carried out for PrDy2YHo6 after structural relaxation. Values from VASP.

Results
- Calculated formation energy: 11 kJ per mole of atoms
- Space-group type: C2/c, No. 15

```
&SYSTEM
  ibrav = 0, nat = 20, ntyp = 4
/
ATOMIC_SPECIES
Ho 164.93 Ho.upf
Pr 140.91 Pr.upf
Dy 162.50 Dy.upf
Y 88.91 Y.upf
CELL_PARAMETERS angstrom
-6.967 -3.393 5.554
5.469 -6.618 1.867
0.807 7.438 4.606
ATOMIC_POSITIONS crystal
Ho 0.119 0.709 0.491
Pr 0.250 0.974 0.026
Pr 0.750 0.026 0.974
Ho 0.557 0.749 0.123
Ho 0.318 0.980 0.434
Ho 0.057 0.123 0.749
Ho 0.818 0.434 0.980
Dy 0.454 0.802 0.696
Ho 0.682 0.020 0.566
Ho 0.943 0.877 0.251
Dy 0.546 0.198 0.304
Y 0.250 0.409 0.591
Ho 0.182 0.566 0.020
Dy 0.954 0.696 0.802
Ho 0.381 0.509 0.291
Ho 0.619 0.491 0.709
Ho 0.443 0.251 0.877
Ho 0.881 0.291 0.509
Y 0.750 0.591 0.409
Dy 0.046 0.304 0.198
```


A plane-wave DFT calculation with PBE-GGA was carried out for LaTaMo2 after structural relaxation. Values from VASP.

Results
- Calculated formation energy: 54 kJ per mole of atoms
- Space-group type: Immm, No. 71
- E above lowest polymorph: 274 meV/atom

```
&SYSTEM
  ibrav = 0, nat = 4, ntyp = 3
/
ATOMIC_SPECIES
Mo 95.94 Mo.upf
Ta 180.95 Ta.upf
La 138.91 La.upf
CELL_PARAMETERS angstrom
5.474 -0.003 0.005
2.026 5.086 -0.005
-3.014 -3.628 2.779
ATOMIC_POSITIONS crystal
Mo 0.995 0.995 0.000
Ta 0.750 0.250 0.500
La 0.250 0.750 0.500
Mo 0.505 0.505 0.000
```


A plane-wave DFT calculation with PBE-GGA was carried out for CrSbS2 after structural relaxation. Values from VASP.

Results
- ΔE_f (raw): -1.396 eV/f.u.
- Space-group type: P1, No. 1

```
&SYSTEM
  ibrav = 0, nat = 8, ntyp = 3
/
ATOMIC_SPECIES
S 32.06 S.upf
Cr 52.00 Cr.upf
Sb 121.76 Sb.upf
CELL_PARAMETERS angstrom
3.216 0.003 -0.011
-1.720 7.201 -0.010
-3.054 1.265 7.860
ATOMIC_POSITIONS crystal
S 0.858 0.052 0.171
Cr 0.783 0.455 0.867
S 0.136 0.246 0.830
Sb 0.182 0.218 0.413
S 0.576 0.594 0.574
Cr 0.424 0.301 0.101
Sb 0.333 0.764 0.747
S 0.069 0.526 0.127
```


A plane-wave DFT calculation with PBE-GGA was carried out for GaNi2Sn4 after structural relaxation. Values from VASP.

Results
- Calculated formation energy: 38 kJ per mole of atoms
- Space-group type: I4/mmm, No. 139

```
&SYSTEM
  ibrav = 0, nat = 7, ntyp = 3
/
ATOMIC_SPECIES
Ni 58.69 Ni.upf
Sn 118.71 Sn.upf
Ga 69.72 Ga.upf
CELL_PARAMETERS angstrom
5.242 0.000 0.000
0.000 5.242 0.000
2.621 2.621 6.325
ATOMIC_POSITIONS crystal
Ni 0.409 0.409 0.181
Sn 0.500 0.000 0.000
Sn 0.217 0.217 0.565
Sn 0.000 0.500 0.000
Sn 0.783 0.783 0.435
Ni 0.591 0.591 0.819
Ga 0.000 0.000 0.000
```


A plane-wave DFT calculation with PBE-GGA was carried out for PmSmDy5Er2 after structural relaxation. Values from VASP.

Results
- Calculated formation energy: 15 kJ per mole of atoms
- Space-group type: Cmc2_1, No. 36

```
&SYSTEM
  ibrav = 0, nat = 18, ntyp = 4
/
ATOMIC_SPECIES
Dy 162.50 Dy.upf
Sm 150.36 Sm.upf
Pm 145.00 Pm.upf
Er 167.26 Er.upf
CELL_PARAMETERS angstrom
-3.141 2.811 -3.690
-6.393 -6.589 4.675
-2.127 7.287 7.361
ATOMIC_POSITIONS crystal
Dy 0.017 0.035 0.026
Dy 0.299 0.598 0.708
Sm 0.799 0.599 0.512
Dy 0.983 0.965 0.526
Dy 0.609 0.218 0.524
Sm 0.201 0.401 0.012
Dy 0.701 0.402 0.208
Dy 0.391 0.782 0.024
Dy 0.282 0.563 0.310
Dy 0.478 0.956 0.737
Pm 0.584 0.168 0.951
Er 0.886 0.772 0.820
Dy 0.718 0.437 0.810
Pm 0.416 0.832 0.451
Er 0.114 0.228 0.320
Dy 0.522 0.044 0.237
Er 0.890 0.780 0.236
Er 0.110 0.220 0.736
```


A plane-wave DFT calculation with PBE-GGA was carried out for Li2PuAlGe2 after structural relaxation. Values from VASP.

Results
- Calculated formation energy: -29 kJ per mole of atoms
- Space-group type: Pmma, No. 51

```
&SYSTEM
  ibrav = 0, nat = 12, ntyp = 4
/
ATOMIC_SPECIES
Ge 72.64 Ge.upf
Li 6.94 Li.upf
Al 26.98 Al.upf
Pu 244.00 Pu.upf
CELL_PARAMETERS angstrom
4.380 0.000 0.000
0.000 5.741 0.000
0.000 0.000 8.599
ATOMIC_POSITIONS crystal
Ge 0.000 0.758 0.153
Li 0.500 0.007 0.000
Al 0.500 0.758 0.306
Ge 0.500 0.758 0.682
Pu 0.000 0.508 0.500
Li 0.500 0.507 0.000
Li 0.000 0.258 0.150
Ge 0.000 0.258 0.847
Ge 0.500 0.258 0.318
Pu 0.000 0.008 0.500
Li 0.000 0.758 0.850
Al 0.500 0.258 0.694
```


A plane-wave DFT calculation with PBE-GGA was carried out for CaDy4Pt4 after structural relaxation. Values from VASP.

Results
- Calculated formation energy: -100 kJ per mole of atoms
- Space-group type: P4_2/n, No. 86

```
&SYSTEM
  ibrav = 0, nat = 18, ntyp = 3
/
ATOMIC_SPECIES
Pt 195.08 Pt.upf
Dy 162.50 Dy.upf
Ca 40.08 Ca.upf
CELL_PARAMETERS angstrom
5.680 0.000 0.000
0.000 9.157 0.000
0.000 0.000 9.157
ATOMIC_POSITIONS crystal
Pt 0.081 0.870 0.705
Dy 0.582 0.101 0.334
Pt 0.419 0.630 0.795
Pt 0.081 0.130 0.295
Dy 0.918 0.601 0.834
Dy 0.582 0.899 0.666
Ca 0.000 0.000 0.000
Ca 0.500 0.500 0.500
Dy 0.418 0.666 0.101
Pt 0.919 0.705 0.130
Pt 0.419 0.370 0.205
Dy 0.918 0.399 0.166
Pt 0.581 0.795 0.370
Dy 0.418 0.334 0.899
Pt 0.919 0.295 0.870
Dy 0.082 0.166 0.601
Dy 0.082 0.834 0.399
Pt 0.581 0.205 0.630
```


A plane-wave DFT calculation with PBE-GGA was carried out for Er4B3AsRh12 after structural relaxation. Values from VASP.

Results
- Calculated formation energy: -70 kJ per mole of atoms
- Space-group type: Im-3m, No. 229

```
&SYSTEM
  ibrav = 0, nat = 20, ntyp = 4
/
ATOMIC_SPECIES
Rh 102.91 Rh.upf
Er 167.26 Er.upf
B 10.81 B.upf
As 74.92 As.upf
CELL_PARAMETERS angstrom
7.420 0.000 0.000
-2.473 6.996 0.000
-2.473 -3.498 6.059
ATOMIC_POSITIONS crystal
Rh 0.000 0.733 0.733
Rh 0.000 0.267 0.267
Er 0.500 0.500 0.500
Er 0.000 0.500 0.000
Er 0.500 0.000 0.000
B 0.500 0.000 0.500
Rh 0.250 0.500 0.750
Rh 0.733 0.000 0.733
B 0.000 0.500 0.500
Rh 0.250 0.750 0.500
As 0.000 0.000 0.000
Er 0.000 0.000 0.500
Rh 0.267 0.267 0.000
Rh 0.750 0.500 0.250
Rh 0.750 0.250 0.500
B 0.500 0.500 0.000
Rh 0.500 0.750 0.250
Rh 0.267 0.000 0.267
Rh 0.733 0.733 0.000
Rh 0.500 0.250 0.750
```


A plane-wave DFT calculation with PBE-GGA was carried out for La2SeCl after structural relaxation. Values from VASP.

Results
- ΔE_f (raw): -6.550 eV/f.u.
- Space-group type: Amm2, No. 38
- E above lowest polymorph: 139 meV/atom

```
&SYSTEM
  ibrav = 0, nat = 4, ntyp = 3
/
ATOMIC_SPECIES
Cl 35.45 Cl.upf
La 138.91 La.upf
Se 78.96 Se.upf
CELL_PARAMETERS angstrom
6.422 -0.016 -0.016
5.206 3.761 -0.016
0.014 0.005 4.424
ATOMIC_POSITIONS crystal
Cl 0.742 0.742 0.875
La 0.977 0.977 0.875
Se 0.520 0.520 0.375
La 0.261 0.261 0.375
```


A plane-wave DFT calculation with PBE-GGA was carried out for ZrB2HF after structural relaxation. Values from VASP.

Results
- Space-group type: P4/mmm, No. 123

```
&SYSTEM
  ibrav = 0, nat = 5, ntyp = 4
/
ATOMIC_SPECIES
B 10.81 B.upf
F 19.00 F.upf
Zr 91.22 Zr.upf
H 1.01 H.upf
CELL_PARAMETERS angstrom
3.693 0.000 0.000
0.000 4.339 0.000
0.000 0.000 3.693
ATOMIC_POSITIONS crystal
B 0.500 0.000 0.000
B 0.000 0.000 0.500
F 0.000 0.000 0.000
Zr 0.000 0.500 0.000
H 0.500 0.500 0.500
```


A plane-wave DFT calculation with PBE-GGA was carried out for PmSnO after structural relaxation. Values from VASP.

Results
- ΔE_f (raw): -3.988 eV/f.u.
- Space-group type: Amm2, No. 38
- E above lowest polymorph: 637 meV/atom

```
&SYSTEM
  ibrav = 0, nat = 6, ntyp = 3
/
ATOMIC_SPECIES
Sn 118.71 Sn.upf
Pm 145.00 Pm.upf
O 16.00 O.upf
CELL_PARAMETERS angstrom
-2.281 -2.479 0.585
0.719 0.900 -3.375
8.810 -8.176 -0.304
ATOMIC_POSITIONS crystal
Sn 0.706 0.412 0.716
Pm 0.407 0.814 0.500
Sn 0.706 0.412 0.284
O 0.173 0.347 0.106
O 0.173 0.347 0.894
Pm 0.501 0.002 0.000
```


A plane-wave DFT calculation with PBE-GGA was carried out for CuAu2Br after structural relaxation. Values from VASP.

Results
- ΔE_f (raw): 0.886 eV/f.u.
- Space-group type: P2/m, No. 10
- E above lowest polymorph: 165 meV/atom

```
&SYSTEM
  ibrav = 0, nat = 4, ntyp = 3
/
ATOMIC_SPECIES
Au 196.97 Au.upf
Br 79.90 Br.upf
Cu 63.55 Cu.upf
CELL_PARAMETERS angstrom
-3.648 0.040 2.316
-1.988 -2.453 -3.090
0.917 -4.065 1.514
ATOMIC_POSITIONS crystal
Au 0.000 0.956 0.956
Br 0.500 0.250 0.250
Au 0.000 0.544 0.544
Cu 0.500 0.750 0.750
```


A plane-wave DFT calculation with PBE-GGA was carried out for LiBeMo2 after structural relaxation. Values from VASP.

Results
- Calculated formation energy: 30 kJ per mole of atoms
- Space-group type: P4/mmm, No. 123
- E above lowest polymorph: 78 meV/atom

```
&SYSTEM
  ibrav = 0, nat = 4, ntyp = 3
/
ATOMIC_SPECIES
Mo 95.94 Mo.upf
Be 9.01 Be.upf
Li 6.94 Li.upf
CELL_PARAMETERS angstrom
3.984 0.000 0.000
0.000 3.655 0.000
0.000 0.000 3.655
ATOMIC_POSITIONS crystal
Mo 0.000 0.500 0.500
Be 0.500 0.500 0.000
Li 0.500 0.000 0.500
Mo 0.000 0.000 0.000
```


A plane-wave DFT calculation with PBE-GGA was carried out for Ac4La5Pm4 after structural relaxation. Values from VASP.

Results
- Calculated formation energy: 3 kJ per mole of atoms
- Space-group type: I4/m, No. 87

```
&SYSTEM
  ibrav = 0, nat = 13, ntyp = 3
/
ATOMIC_SPECIES
La 138.91 La.upf
Ac 227.00 Ac.upf
Pm 145.00 Pm.upf
CELL_PARAMETERS angstrom
5.215 0.000 1.326
2.607 9.653 0.663
0.229 0.000 10.018
ATOMIC_POSITIONS crystal
La 0.000 0.000 0.000
Ac 0.380 0.701 0.539
Ac 0.919 0.461 0.701
Pm 0.770 0.381 0.078
La 0.542 0.771 0.144
Pm 0.230 0.619 0.922
Ac 0.620 0.299 0.461
Pm 0.848 0.922 0.381
Ac 0.081 0.539 0.299
La 0.686 0.856 0.771
La 0.458 0.229 0.856
La 0.314 0.144 0.229
Pm 0.152 0.078 0.619
```


A plane-wave DFT calculation with PBE-GGA was carried out for Np2Ag3O9 after structural relaxation. Values from VASP.

Results
- ΔE_f (raw): -18.838 eV/f.u.
- Space-group type: R-3c, No. 167

```
&SYSTEM
  ibrav = 0, nat = 28, ntyp = 3
/
ATOMIC_SPECIES
Ag 107.87 Ag.upf
O 16.00 O.upf
Np 237.00 Np.upf
CELL_PARAMETERS angstrom
7.839 0.429 1.169
1.069 7.778 1.169
0.466 0.429 7.912
ATOMIC_POSITIONS crystal
Ag 0.916 0.584 0.250
O 0.276 0.998 0.988
O 0.512 0.502 0.224
Ag 0.084 0.416 0.750
O 0.498 0.776 0.488
O 0.750 0.605 0.895
Ag 0.250 0.916 0.584
O 0.988 0.276 0.998
O 0.105 0.250 0.395
O 0.502 0.224 0.512
Np 0.153 0.153 0.153
O 0.776 0.488 0.498
Ag 0.584 0.250 0.916
O 0.605 0.895 0.750
Np 0.347 0.347 0.347
O 0.012 0.724 0.002
O 0.250 0.395 0.105
Np 0.847 0.847 0.847
O 0.488 0.498 0.776
O 0.998 0.988 0.276
Ag 0.750 0.084 0.416
Ag 0.416 0.750 0.084
O 0.002 0.012 0.724
O 0.224 0.512 0.502
O 0.895 0.750 0.605
O 0.395 0.105 0.250
Np 0.653 0.653 0.653
O 0.724 0.002 0.012
```


A plane-wave DFT calculation with PBE-GGA was carried out for Pm6HgS5 after structural relaxation. Values from VASP.

Results
- ΔE_f (raw): -20.988 eV/f.u.
- Space-group type: C2/m, No. 12

```
&SYSTEM
  ibrav = 0, nat = 12, ntyp = 3
/
ATOMIC_SPECIES
S 32.06 S.upf
Pm 145.00 Pm.upf
Hg 200.59 Hg.upf
CELL_PARAMETERS angstrom
-3.393 0.066 -6.237
6.859 1.807 0.322
0.578 -6.992 0.953
ATOMIC_POSITIONS crystal
S 0.333 0.667 0.000
Pm 0.738 0.738 0.256
Pm 0.566 0.914 0.742
Pm 0.434 0.086 0.258
S 0.163 0.837 0.500
Hg 0.000 0.000 0.000
S 0.837 0.163 0.500
S 0.500 0.500 0.500
Pm 0.262 0.262 0.744
Pm 0.086 0.434 0.258
S 0.667 0.333 0.000
Pm 0.914 0.566 0.742
```


A plane-wave DFT calculation with PBE-GGA was carried out for CsNb2H after structural relaxation. Values from VASP.

Results
- Space-group type: I4_1/amd, No. 141
- E above lowest polymorph: 0 meV/atom

```
&SYSTEM
  ibrav = 0, nat = 8, ntyp = 3
/
ATOMIC_SPECIES
H 1.01 H.upf
Nb 92.91 Nb.upf
Cs 132.91 Cs.upf
CELL_PARAMETERS angstrom
6.216 0.000 0.000
0.000 6.216 0.000
3.108 3.108 4.413
ATOMIC_POSITIONS crystal
H 0.250 0.750 0.500
Nb 0.375 0.625 0.750
Nb 0.375 0.625 0.250
Cs 0.000 0.000 0.000
H 0.500 0.500 0.000
Nb 0.875 0.625 0.750
Nb 0.375 0.125 0.250
Cs 0.750 0.250 0.500
```


A plane-wave DFT calculation with PBE-GGA was carried out for Rb2TlAu2 after structural relaxation. Values from VASP.

Results
- Calculated formation energy: -2 kJ per mole of atoms
- Space-group type: P4/mbm, No. 127
- E above lowest polymorph: 229 meV/atom

```
&SYSTEM
  ibrav = 0, nat = 10, ntyp = 3
/
ATOMIC_SPECIES
Tl 204.38 Tl.upf
Rb 85.47 Rb.upf
Au 196.97 Au.upf
CELL_PARAMETERS angstrom
9.851 0.000 0.000
0.000 9.851 0.000
0.000 0.000 3.716
ATOMIC_POSITIONS crystal
Tl 0.000 0.000 0.000
Tl 0.500 0.500 0.000
Rb 0.137 0.363 0.000
Rb 0.363 0.863 0.000
Rb 0.863 0.637 0.000
Rb 0.637 0.137 0.000
Au 0.337 0.163 0.500
Au 0.837 0.337 0.500
Au 0.663 0.837 0.500
Au 0.163 0.663 0.500
```


A plane-wave DFT calculation with PBE-GGA was carried out for Mg2AlTc after structural relaxation. Values from VASP.

Results
- Calculated formation energy: -1 kJ per mole of atoms
- Space-group type: Immm, No. 71

```
&SYSTEM
  ibrav = 0, nat = 4, ntyp = 3
/
ATOMIC_SPECIES
Mg 24.30 Mg.upf
Al 26.98 Al.upf
Tc 98.00 Tc.upf
CELL_PARAMETERS angstrom
-3.112 4.076 1.370
-1.361 0.621 5.093
4.372 -0.748 -2.917
ATOMIC_POSITIONS crystal
Mg 0.998 0.998 0.000
Al 0.250 0.750 0.500
Tc 0.750 0.250 0.500
Mg 0.502 0.502 0.000
```


Calculated DFT total energy (eV/atom), listed in the same order as above: -1.938 -4.673 -9.048 -5.849 -3.977 -4.464 -5.493 -5.987 -7.281 -5.434 -4.362 -5.900 -2.859 -6.513 -4.590 -6.993 -5.869 -5.038 -2.193 -4.331